[1]
# SmAl2Cl8

Crystalline SmAl2Cl8 at its relaxed geometry (GGA-PBE, Alexandria via LeMat-Bulk).

Calculated values
* SG: No. 13
* total magnetization: 1.959 μB per cell
* energy relative to the elements, uncorrected: -1.603 eV/atom
* total energy: -0.149 hartree per atom

Lattice parameters (Å, degrees): 7.5867 6.9496 12.7903 90.00 94.16 90.00
With the nearest neighbours (Å) after each atom.
Sites, in units of the cell vectors:
Sm  0.0000  0.1568  0.2500  8 Cl 2.95-2.97
Sm  0.0000  0.8432  0.7500  8 Cl 2.95-2.97
Al  0.1646  0.2632  0.9199  4 Cl 2.17-2.18
Al  0.1646  0.7368  0.4199  4 Cl 2.17-2.18
Al  0.8354  0.2632  0.5801  4 Cl 2.17-2.18
Al  0.8354  0.7368  0.0801  4 Cl 2.17-2.18
Cl  0.1052  0.1737  0.6216  1 Al 2.17
Cl  0.1052  0.8263  0.1216  1 Al 2.17
Cl  0.2206  0.3045  0.0872  1 Al 2.17
Cl  0.2206  0.6955  0.5872  1 Al 2.17
Cl  0.2289  0.4700  0.3415  1 Al 2.18
Cl  0.2289  0.5300  0.8415  1 Al 2.18
Cl  0.3146  0.0259  0.8613  1 Al 2.17
Cl  0.3146  0.9741  0.3613  1 Al 2.17
Cl  0.6854  0.0259  0.6387  1 Al 2.17
Cl  0.6854  0.9741  0.1387  1 Al 2.17
Cl  0.7711  0.4700  0.1585  1 Al 2.18
Cl  0.7711  0.5300  0.6585  1 Al 2.18
Cl  0.7794  0.3045  0.4128  1 Al 2.17
Cl  0.7794  0.6955  0.9128  1 Al 2.17
Cl  0.8948  0.1737  0.8784  1 Al 2.17
Cl  0.8948  0.8263  0.3784  1 Al 2.17



[2]
# Ho3Co11B4

Crystalline Ho3Co11B4 at its relaxed geometry (GGA-PBE, Alexandria via LeMat-Bulk).

Calculated values
* E_form: -0.3812 eV/atom
* SG: No. 191
* total magnetization: 7.795 μB per cell
* total energy: -0.256 hartree per atom

Lattice parameters (Å, degrees): 5.0095 5.0095 9.7658 90.00 90.00 120.00
With the nearest neighbours (Å) after each atom.
Sites, in units of the cell vectors:
Ho  0.0000  0.0000  0.0000  18 Co 2.89-3.19
Ho  0.0000  0.0000  0.3420  12 Co 2.85-2.94, 6 B 2.89, 1 Ho 3.09
Ho  0.0000  0.0000  0.6580  12 Co 2.85-2.94, 6 B 2.89, 1 Ho 3.09
Co  0.0000  0.5000  0.2017  2 B 2.04
Co  0.0000  0.5000  0.5000  4 B 2.06
Co  0.0000  0.5000  0.7983  2 B 2.04
Co  0.3333  0.6667  0.0000  6 Co 2.44
Co  0.5000  0.0000  0.2017  2 B 2.04
Co  0.5000  0.0000  0.5000  4 B 2.06
Co  0.5000  0.0000  0.7983  2 B 2.04
Co  0.5000  0.5000  0.2017  2 B 2.04
Co  0.5000  0.5000  0.5000  4 B 2.06
Co  0.5000  0.5000  0.7983  2 B 2.04
Co  0.6667  0.3333  0.0000  6 Co 2.44
B  0.3333  0.6667  0.3497  6 Co 2.04-2.06
B  0.3333  0.6667  0.6503  6 Co 2.04-2.06
B  0.6667  0.3333  0.3497  6 Co 2.04-2.06
B  0.6667  0.3333  0.6503  6 Co 2.04-2.06



[3]
# K4MgFe

Crystalline K4MgFe at its relaxed geometry (GGA-PBE, Alexandria via LeMat-Bulk).

Calculated values
* E_form: 0.8525 eV/atom
* SG: No. 216
* total magnetization: 3.023 μB per cell
* total energy: -0.057 hartree per atom

Lattice parameters (Å, degrees): 7.4648 7.4648 7.4648 60.00 60.00 60.00
With the nearest neighbours (Å) after each atom.
Sites, in units of the cell vectors:
K  0.1254  0.1254  0.1254  6 K 3.72-3.75
K  0.1254  0.1254  0.6237  6 K 3.72-3.75
K  0.1254  0.6237  0.1254  6 K 3.72-3.75
K  0.6237  0.1254  0.1254  6 K 3.72-3.75
Mg  0.7500  0.7500  0.7500  12 K 4.38, 4 Fe 4.57
Fe  0.5000  0.5000  0.5000  12 K 4.38, 4 Mg 4.57



[4]
# PrMgS

Crystalline PrMgS at its relaxed geometry (GGA-PBE, Alexandria via LeMat-Bulk).

Calculated values
* SG: No. 166
* total magnetization: 0.000 μB per cell
* energy relative to the elements, uncorrected: -1.092 eV/atom
* total energy: -0.169 hartree per atom

Lattice parameters (Å, degrees): 8.2440 8.2440 8.2440 34.92 34.92 34.92
With the nearest neighbours (Å) after each atom.
Sites, in units of the cell vectors:
Pr  0.0929  0.0929  0.0929  4 S 2.90
Pr  0.9071  0.9071  0.9071  4 S 2.90
Mg  0.3275  0.3275  0.3275  1 S 2.55
Mg  0.6725  0.6725  0.6725  1 S 2.55
S  0.2177  0.2177  0.2177  1 Mg 2.55
S  0.7823  0.7823  0.7823  1 Mg 2.55